(1)
Below is an optimized crystal structure of Ti2AlZn, with properties calculated at the PBE level. Values from VASP.

```
&SYSTEM
  ibrav = 0, nat = 4, ntyp = 3
/
ATOMIC_SPECIES
Zn 65.41 Zn.upf
Al 26.98 Al.upf
Ti 47.87 Ti.upf
CELL_PARAMETERS angstrom
-3.354 2.122 0.810
-0.796 0.217 -3.865
-2.068 -3.359 0.237
ATOMIC_POSITIONS crystal
Zn 0.500 0.000 0.000
Al 0.500 0.500 0.500
Ti 0.000 0.000 0.500
Ti 0.000 0.500 0.000
```

Calculated values
E_tot: -5.495 eV per atom
theoretical density: 4.9 g/cm3
DOS at the Fermi energy: 4.8 states/eV/f.u.
energy of formation from the pure elements: -0.2934 eV per atom
symmetry: P4/mmm, No. 123

=====

(2)
Below is an optimized crystal structure of TbAlV, with properties calculated at the PBE level. Values from VASP.

```
&SYSTEM
  ibrav = 0, nat = 12, ntyp = 3
/
ATOMIC_SPECIES
Al 26.98 Al.upf
Tb 158.93 Tb.upf
V 50.94 V.upf
CELL_PARAMETERS angstrom
4.494 0.000 0.000
0.000 3.485 0.000
0.000 0.000 15.407
ATOMIC_POSITIONS crystal
Al 0.250 0.498 0.134
Al 0.250 0.002 0.634
Al 0.750 0.998 0.366
Al 0.750 0.502 0.866
Tb 0.750 0.998 0.076
Tb 0.750 0.502 0.576
Tb 0.250 0.002 0.924
Tb 0.250 0.498 0.424
V 0.250 0.998 0.261
V 0.750 0.498 0.239
V 0.750 0.002 0.739
V 0.250 0.502 0.761
```

Calculated values
energy above the most stable polymorph in this dataset: 0.0 meV per atom
E_tot: -5.912 eV per atom
theoretical density: 6.5 g/cm3
DOS at the Fermi energy: 3.3 states/eV/f.u.
energy of formation from the pure elements: -0.0812 eV per atom
symmetry: Pnma, No. 62

=====

(3)
Below is an optimized crystal structure of HfZrTc2Ru, with properties calculated at the PBE level. Values from VASP.

```
&SYSTEM
  ibrav = 0, nat = 5, ntyp = 4
/
ATOMIC_SPECIES
Hf 178.49 Hf.upf
Zr 91.22 Zr.upf
Tc 98.00 Tc.upf
Ru 101.07 Ru.upf
CELL_PARAMETERS angstrom
-2.867 0.544 -3.691
-3.571 -1.745 2.517
-1.088 4.379 1.491
ATOMIC_POSITIONS crystal
Hf 0.000 0.000 0.500
Zr 0.500 0.500 0.500
Tc 0.000 0.500 0.000
Tc 0.500 0.000 0.000
Ru 0.000 0.000 0.000
```

Calculated values
E_tot: -8.816 eV per atom
theoretical density: 8.9 g/cm3
DOS at the Fermi energy: 5.0 states/eV/f.u.
energy of formation from the pure elements: 0.8854 eV per atom
symmetry: P4/mmm, No. 123

=====

(4)
Below is an optimized crystal structure of LiLaPrSm, with properties calculated at the PBE level. Values from VASP.

```
&SYSTEM
  ibrav = 0, nat = 4, ntyp = 4
/
ATOMIC_SPECIES
Sm 150.36 Sm.upf
Pr 140.91 Pr.upf
La 138.91 La.upf
Li 6.94 Li.upf
CELL_PARAMETERS angstrom
-1.184 -2.488 4.979
-4.257 -3.759 0.361
1.139 -5.523 0.763
ATOMIC_POSITIONS crystal
Sm 0.500 0.500 0.500
Pr 0.250 0.250 0.250
La 0.750 0.750 0.750
Li 0.000 0.000 0.000
```

Calculated values
E_tot: -3.922 eV per atom
theoretical density: 5.6 g/cm3
DOS at the Fermi energy: 5.1 states/eV/f.u.
energy of formation from the pure elements: 0.1627 eV per atom
symmetry: F-43m, No. 216

=====

(5)
Below is an optimized crystal structure of MnCdPCl2, with properties calculated at the PBE level. Values from VASP.

```
&SYSTEM
  ibrav = 0, nat = 5, ntyp = 4
/
ATOMIC_SPECIES
Cl 35.45 Cl.upf
Mn 54.94 Mn.upf
P 30.97 P.upf
Cd 112.41 Cd.upf
CELL_PARAMETERS angstrom
-2.690 3.844 1.948
-4.256 -2.729 -0.491
0.704 -1.975 4.870
ATOMIC_POSITIONS crystal
Cl 0.000 0.500 0.000
Cl 0.500 0.000 0.000
Mn 0.500 0.500 0.500
P 0.000 0.000 0.500
Cd 0.000 0.000 0.000
```

Calculated values
formation energy (no corrections): 356 meV/atom
energy above the most stable polymorph in this dataset: 484.8 meV per atom
E_tot: -3.482 eV per atom
theoretical density: 3.3 g/cm3
DOS at the Fermi energy: 1.6 states/eV/f.u.
symmetry: P4/mmm, No. 123

=====

(6)
Below is an optimized crystal structure of CsK3Cd8, with properties calculated at the PBE level. Values from VASP.

```
&SYSTEM
  ibrav = 0, nat = 12, ntyp = 3
/
ATOMIC_SPECIES
Cd 112.41 Cd.upf
K 39.10 K.upf
Cs 132.91 Cs.upf
CELL_PARAMETERS angstrom
6.440 0.000 0.000
-3.220 5.577 0.000
0.000 0.000 10.678
ATOMIC_POSITIONS crystal
Cd 0.502 0.004 0.757
Cd 0.664 0.832 0.244
Cd 0.168 0.832 0.244
Cd 0.333 0.667 0.994
Cd 0.168 0.336 0.244
Cd 0.333 0.667 0.501
Cd 0.996 0.498 0.757
Cd 0.502 0.498 0.757
K 0.667 0.333 0.062
K 0.667 0.333 0.437
K 0.000 0.000 0.944
Cs 0.000 0.000 0.557
```

Calculated values
E_tot: -1.031 eV per atom
theoretical density: 5.0 g/cm3
DOS at the Fermi energy: 4.5 states/eV/f.u.
energy of formation from the pure elements: -0.0753 eV per atom
symmetry: P3m1, No. 156